Computed, not measured: a geometry-optimized Cs2PbBr3Cl structure at the GGA-PBE level of DFT.

Unit cell a=10.0821 b=10.0821 c=10.0821 alpha=147.04 beta=145.61 gamma=48.37
With the nearest neighbours (Å) after each atom.
Sites, in units of the cell vectors:
Cs: 0.1399 0.1399 0.0000  3 Br 3.59-3.85, 2 Cl 3.94
Cs: 0.8601 0.8601 0.0000  3 Br 3.59-3.85, 2 Cl 3.94
Pb: 0.5000 0.5000 0.0000  2 Cl 2.86, 4 Br 2.98-3.03
Br: 0.0000 0.5000 0.5000  2 Pb 2.98
Br: 0.3351 0.3351 0.0000  1 Pb 3.03
Br: 0.6649 0.6649 0.0000  1 Pb 3.03
Cl: 0.5000 0.0000 0.5000  2 Pb 2.86

Properties
Crystal system: orthorhombic
Raw formation energy (meV per atom): -1494



Computed, not measured: a geometry-optimized Na3In5Ag6 structure at the GGA-PBE level of DFT.

Unit cell a=4.7837 b=14.0135 c=9.7010 alpha=90.00 beta=90.00 gamma=90.00
With the nearest neighbours (Å) after each atom.
Sites, in units of the cell vectors:
Na: 0.2500 0.0647 0.2485  7 Ag 3.19-3.43, 4 In 3.46-3.55
Na: 0.2500 0.4353 0.2485  7 Ag 3.19-3.43, 4 In 3.46-3.55
Na: 0.2500 0.7500 0.1784  6 Ag 3.03-3.27, 4 In 3.21
Na: 0.7500 0.2500 0.8216  6 Ag 3.03-3.27, 4 In 3.21
Na: 0.7500 0.5647 0.7515  7 Ag 3.19-3.43, 4 In 3.46-3.55
Na: 0.7500 0.9353 0.7515  7 Ag 3.19-3.43, 4 In 3.46-3.55
In: 0.2500 0.0987 0.8568  6 Ag 2.83-3.12
In: 0.2500 0.4013 0.8568  6 Ag 2.83-3.12
In: 0.2500 0.6460 0.4963  5 Ag 2.78-3.02, 1 In 2.92
In: 0.2500 0.7500 0.7859  4 Ag 2.86-2.91, 2 In 3.17
In: 0.2500 0.8540 0.4963  5 Ag 2.78-3.02, 1 In 2.92
In: 0.7500 0.1460 0.5037  5 Ag 2.78-3.02, 1 In 2.92
In: 0.7500 0.2500 0.2141  4 Ag 2.86-2.91, 2 In 3.17
In: 0.7500 0.3540 0.5037  5 Ag 2.78-3.02, 1 In 2.92
In: 0.7500 0.5987 0.1432  6 Ag 2.83-3.12
In: 0.7500 0.9013 0.1432  6 Ag 2.83-3.12
Ag: 0.2500 0.0447 0.5756  4 In 2.78-2.87, 3 Ag 2.91-3.07
Ag: 0.2500 0.2500 0.0517  4 In 2.84-2.86
Ag: 0.2500 0.2500 0.6204  2 Ag 2.91, 6 In 3.02-3.12, 2 Na 3.09
Ag: 0.2500 0.4553 0.5756  4 In 2.78-2.87, 3 Ag 2.91-3.07
Ag: 0.2500 0.5874 0.9718  4 In 2.84-2.92, 1 Na 3.03
Ag: 0.2500 0.9126 0.9718  4 In 2.84-2.92, 1 Na 3.03
Ag: 0.7500 0.0874 0.0282  4 In 2.84-2.92, 1 Na 3.03
Ag: 0.7500 0.4126 0.0282  4 In 2.84-2.92, 1 Na 3.03
Ag: 0.7500 0.5447 0.4244  4 In 2.78-2.87, 3 Ag 2.91-3.07
Ag: 0.7500 0.7500 0.3796  2 Ag 2.91, 6 In 3.02-3.12, 2 Na 3.09
Ag: 0.7500 0.7500 0.9483  4 In 2.84-2.86
Ag: 0.7500 0.9553 0.4244  4 In 2.78-2.87, 3 Ag 2.91-3.07

Properties
Crystal system: orthorhombic
Formation energy (eV/atom): -0.06



Computed, not measured: a geometry-optimized MnCrSb2 structure at the GGA-PBE level of DFT.

Unit cell a=4.6388 b=4.6388 c=3.7252 alpha=90.00 beta=90.00 gamma=90.00
With the nearest neighbours (Å) after each atom.
Sites, in units of the cell vectors:
Mn: 0.0000 0.0000 0.0000  8 Sb 2.97, 4 Cr 3.28
Cr: 0.5000 0.5000 0.0000  8 Sb 2.97, 4 Mn 3.28
Sb: 0.0000 0.5000 0.5000  4 Cr 2.97, 4 Mn 2.97, 4 Sb 3.28
Sb: 0.5000 0.0000 0.5000  4 Cr 2.97, 4 Mn 2.97, 4 Sb 3.28

Properties
Excess energy over the best structure of this formula in the dataset (eV/atom): 0.333
Crystal system: tetragonal
Raw formation energy (meV per atom): 364



Computed, not measured: a geometry-optimized VHg2W structure at the GGA-PBE level of DFT.

Unit cell a=4.6824 b=4.6824 c=4.6824 alpha=60.00 beta=60.00 gamma=60.00
With the nearest neighbours (Å) after each atom.
Sites, in units of the cell vectors:
V: 0.0000 0.0000 0.0000  8 Hg 2.87
Hg: 0.2500 0.2500 0.2500  4 W 2.87, 4 V 2.87
Hg: 0.7500 0.7500 0.7500  4 W 2.87, 4 V 2.87
W: 0.5000 0.5000 0.5000  8 Hg 2.87

Properties
Excess energy over the best structure of this formula in the dataset (eV/atom): 0.000
Crystal system: cubic
Formation energy (eV/atom): 0.88